Record 1
The following is a GGA-PBE calculation of a relaxed structure of CoSiRh2, from Alexandria.

```
4
Lattice="-0.350 -2.710 0.474 2.982 0.204 3.362 -3.100 0.872 2.696" Properties=species:S:1:pos:R:3 pbc="T T T"
Si -1.725 -0.919 1.585
Co -0.059 0.538 3.029
Rh 1.316 -1.253 1.918
Rh 0.000 0.000 0.000
```

Values from the calculation:
Energy relative to the elements, uncorrected ... -0.14 eV/atom
Energy ... -6.947 eV/atom
Theoretical density ... 9.28 g/cm3

=====

Record 2
The following is a GGA-PBE calculation of a relaxed structure of Pr2H5Rh2, from Alexandria.

```
18
Lattice="5.270 0.000 -0.005 0.000 5.284 -0.005 -2.642 -2.648 7.507" Properties=species:S:1:pos:R:3 pbc="T T T"
Rh 2.628 -2.599 7.502
Rh 0.076 0.048 3.752
Rh 2.552 2.690 3.746
Rh -0.007 0.043 7.502
H -1.321 -1.273 3.754
H 0.046 0.049 1.905
H 1.317 1.371 0.023
H 0.044 0.046 5.598
H 1.317 4.012 0.021
H 3.949 1.369 3.746
H 2.584 2.691 1.900
H 2.582 2.688 5.593
H 1.311 -1.278 7.477
H 1.311 1.364 7.475
Pr 0.001 2.691 1.938
Pr -0.001 2.688 5.562
Pr 2.629 0.048 1.936
Pr 2.627 0.045 5.560
```

Values from the calculation:
Energy ... -5.115 eV/atom
Theoretical density ... 7.83 g/cm3

=====

Record 3
The following is a GGA-PBE calculation of a relaxed structure of Pm4Ge3Pt, from Alexandria.

```
8
Lattice="4.269 0.000 0.000 0.000 4.177 0.000 0.000 0.000 11.137" Properties=species:S:1:pos:R:3 pbc="T T T"
Pm 2.135 2.089 3.967
Pm 0.000 0.000 1.490
Pm 0.000 2.089 9.636
Pm 2.135 0.000 7.128
Ge 2.135 0.000 10.203
Ge 0.000 0.000 4.700
Ge 0.000 2.089 6.491
Pt 2.135 2.089 0.931
```

Values from the calculation:
Calculated formation energy ... -0.91 eV/atom
Energy ... -5.776 eV/atom
Theoretical density ... 8.30 g/cm3

=====

Record 4
The following is a GGA-PBE calculation of a relaxed structure of Ir5Se, from Alexandria.

```
6
Lattice="2.793 0.000 0.000 0.000 2.793 0.000 0.000 0.000 11.566" Properties=species:S:1:pos:R:3 pbc="T T T"
Ir 0.000 0.000 5.783
Ir 0.000 0.000 1.987
Ir 1.397 1.397 3.874
Ir 1.397 1.397 7.692
Ir 0.000 0.000 9.579
Se 1.397 1.397 0.000
```

Values from the calculation:
Energy relative to the elements, uncorrected ... 0.27 eV/atom
Energy ... -7.693 eV/atom
Theoretical density ... 19.14 g/cm3

=====

Record 5
The following is a GGA-PBE calculation of a relaxed structure of Ti2Al5Ir2Rh, from Alexandria.

```
20
Lattice="4.023 0.000 0.000 0.000 8.831 0.000 0.000 0.000 8.831" Properties=species:S:1:pos:R:3 pbc="T T T"
Al 2.012 6.176 3.767
Al 2.012 1.761 0.648
Al 2.012 0.000 4.415
Al 2.012 8.183 1.761
Al 2.012 4.415 0.000
Al 2.012 3.767 2.655
Al 2.012 0.648 7.070
Al 2.012 5.064 6.176
Al 2.012 2.655 5.064
Al 2.012 7.070 8.183
Rh 0.000 0.000 0.000
Rh 0.000 4.415 4.415
Ir 0.000 7.742 3.326
Ir 0.000 3.326 1.089
Ir 0.000 1.089 5.505
Ir 0.000 5.505 7.742
Ti 0.000 5.922 1.507
Ti 0.000 7.324 5.922
Ti 0.000 1.507 2.908
Ti 0.000 2.908 7.324
```

Values from the calculation:
Calculated formation energy ... -0.67 eV/atom
Energy ... -6.632 eV/atom
Theoretical density ... 7.60 g/cm3

=====

Record 6
The following is a GGA-PBE calculation of a relaxed structure of LaDyPu4, from Alexandria.

```
6
Lattice="6.211 0.000 0.000 3.106 5.379 0.000 3.106 1.793 5.071" Properties=species:S:1:pos:R:3 pbc="T T T"
Dy 0.000 0.000 0.000
Pu 4.658 4.483 3.170
Pu 6.211 3.586 0.633
Pu 7.765 4.483 3.170
Pu 6.211 1.792 3.170
La 3.106 1.793 1.268
```

Values from the calculation:
Calculated formation energy ... 0.23 eV/atom
Energy ... -10.908 eV/atom
Theoretical density ... 12.52 g/cm3

=====

Record 7
The following is a GGA-PBE calculation of a relaxed structure of SrSbPd3, from Alexandria.

```
5
Lattice="-3.044 3.973 0.542 -4.008 -3.036 -0.254 0.127 -0.585 4.999" Properties=species:S:1:pos:R:3 pbc="T T T"
Sr -3.463 0.176 2.643
Pd 0.063 -0.292 2.499
Pd -2.004 -1.518 -0.127
Pd -1.522 1.987 0.271
Sb 0.000 0.000 0.000
```

Values from the calculation:
Polymorph energy (0 for the lowest one) ... 252 meV/atom
Energy relative to the elements, uncorrected ... -0.37 eV/atom
Energy ... -4.649 eV/atom
Theoretical density ... 6.88 g/cm3

=====

Record 8
The following is a GGA-PBE calculation of a relaxed structure of ZrAsCl, from Alexandria.

```
3
Lattice="-1.111 3.937 2.244 1.388 0.644 4.408 3.307 3.146 0.969" Properties=species:S:1:pos:R:3 pbc="T T T"
Cl 0.000 0.000 0.000
Zr 1.792 3.863 3.811
As 2.688 5.795 5.716
```

Values from the calculation:
Polymorph energy (0 for the lowest one) ... 878 meV/atom
Energy relative to the elements, uncorrected ... -0.17 eV/atom
Energy ... -5.183 eV/atom
Theoretical density ... 4.66 g/cm3

=====

Record 9
The following is a GGA-PBE calculation of a relaxed structure of La2PuSc, from Alexandria.

```
4
Lattice="-0.286 -3.311 0.932 2.751 -1.694 1.214 -2.068 1.776 12.070" Properties=species:S:1:pos:R:3 pbc="T T T"
La 1.693 -4.084 5.181
La -1.295 0.856 9.035
Sc 0.199 -1.614 7.108
Pu 0.000 0.000 0.000
```

Values from the calculation:
Calculated formation energy ... 0.28 eV/atom
Polymorph energy (0 for the lowest one) ... 158 meV/atom
Energy ... -7.346 eV/atom
Theoretical density ... 7.47 g/cm3

=====

Record 10
The following is a GGA-PBE calculation of a relaxed structure of FeReAu2, from Alexandria.

```
4
Lattice="-2.327 1.253 3.558 -4.426 -0.233 -0.052 -2.088 -3.035 2.464" Properties=species:S:1:pos:R:3 pbc="T T T"
Au -2.210 -0.504 1.493
Au -6.631 -1.511 4.478
Fe 0.000 0.000 0.000
Re -4.421 -1.007 2.985
```

Values from the calculation:
Calculated formation energy ... 0.79 eV/atom
Polymorph energy (0 for the lowest one) ... 566 meV/atom
Energy ... -6.074 eV/atom
Theoretical density ... 17.15 g/cm3

=====

Record 11
The following is a GGA-PBE calculation of a relaxed structure of MgZnPtSe2, from Alexandria.

```
5
Lattice="4.916 0.000 0.000 0.000 4.821 0.000 0.000 0.000 4.916" Properties=species:S:1:pos:R:3 pbc="T T T"
Pt 2.458 2.410 2.458
Se 0.000 0.000 2.458
Se 2.458 0.000 0.000
Zn 0.000 2.410 0.000
Mg 0.000 0.000 0.000
```

Values from the calculation:
Energy relative to the elements, uncorrected ... 0.67 eV/atom
Energy ... -2.509 eV/atom
Theoretical density ... 6.31 g/cm3

=====

Record 12
The following is a GGA-PBE calculation of a relaxed structure of LiMgMo, from Alexandria.

```
3
Lattice="7.504 0.035 -0.028 6.904 2.657 0.064 0.600 -0.558 2.563" Properties=species:S:1:pos:R:3 pbc="T T T"
Li 0.679 -0.540 2.548
Mg 5.138 0.510 1.733
Mo 9.791 1.605 0.881
```

Values from the calculation:
Calculated formation energy ... 0.29 eV/atom
Polymorph energy (0 for the lowest one) ... 0 meV/atom
Energy ... -4.494 eV/atom
Theoretical density ... 4.15 g/cm3

=====

| no. | spin magnetization (μB/atom) |
| --- | --- |
| 1 | 0.401 |
| 2 | 0.000 |
| 3 | 0.000 |
| 4 | 0.000 |
| 5 | 0.000 |
| 6 | 3.809 |
| 7 | 0.000 |
| 8 | 0.000 |
| 9 | 1.665 |
| 10 | 0.000 |
| 11 | 0.000 |
| 12 | 0.000 |